First-principles (PBE-GGA) data for PaBiS4 after structural relaxation, as listed in the Alexandria database.

Unit cell a=14.9766 b=4.0917 c=6.9829 alpha=90.00 beta=117.76 gamma=90.00
Sites, in units of the cell vectors:
1 Pa 0.0000 0.0000 0.0000
2 Pa 0.5000 0.5000 0.0000
3 Bi 0.0000 0.5000 0.5000
4 Bi 0.5000 0.0000 0.5000
5 S 0.1067 0.5000 0.2546
6 S 0.1088 0.0000 0.7971
7 S 0.3912 0.5000 0.2029
8 S 0.3933 0.0000 0.7454
9 S 0.6067 0.0000 0.2546
10 S 0.6088 0.5000 0.7971
11 S 0.8912 0.0000 0.2029
12 S 0.8933 0.5000 0.7454

Calculated total energy: -6.039 eV/atom

***

First-principles (PBE-GGA) data for PaBiS4 after structural relaxation, as listed in the Alexandria database.

Unit cell a=6.6545 b=4.0906 c=6.9832 alpha=90.00 beta=90.38 gamma=90.00
Sites, in units of the cell vectors:
1 Pa 0.0000 0.0000 0.0000
2 Bi 0.0000 0.5000 0.5000
3 S 0.2124 0.5000 0.8533
4 S 0.2170 0.0000 0.3130
5 S 0.7830 0.0000 0.6870
6 S 0.7876 0.5000 0.1467

Calculated total energy: -6.039 eV/atom

***

First-principles (PBE-GGA) data for PaTl2Bi2S6 after structural relaxation, as listed in the Alexandria database.

Unit cell a=7.0990 b=7.0990 c=7.9274 alpha=98.71 beta=98.71 gamma=119.54
Sites, in units of the cell vectors:
1 Pa 0.0000 0.0000 0.0000
2 Tl 0.1680 0.8320 0.5000
3 Tl 0.8320 0.1680 0.5000
4 Bi 0.3328 0.6672 0.0000
5 Bi 0.6672 0.3328 0.0000
6 S 0.0628 0.3867 0.1984
7 S 0.2461 0.2461 0.7967
8 S 0.3867 0.0628 0.1984
9 S 0.6133 0.9372 0.8016
10 S 0.7539 0.7539 0.2033
11 S 0.9372 0.6133 0.8016

Calculated total energy: -4.993 eV/atom

***

First-principles (PBE-GGA) data for PaTlBiS4 after structural relaxation, as listed in the Alexandria database.

Unit cell a=8.2129 b=8.2129 c=8.2129 alpha=119.53 beta=108.57 gamma=100.87
Sites, in units of the cell vectors:
1 Pa 0.5000 0.0000 0.0000
2 Pa 0.5000 0.5000 0.5000
3 Tl 0.0757 0.3257 0.7500
4 Tl 0.9243 0.6743 0.2500
5 Bi 0.0000 0.0000 0.0000
6 Bi 0.5000 0.0000 0.5000
7 S 0.2480 0.2072 0.4593
8 S 0.2480 0.7887 0.0407
9 S 0.3012 0.7349 0.5663
10 S 0.3314 0.2651 0.0663
11 S 0.6686 0.7349 0.9337
12 S 0.6988 0.2651 0.4337
13 S 0.7520 0.2113 0.9593
14 S 0.7520 0.7928 0.5407

Calculated total energy: -5.498 eV/atom

***

First-principles (PBE-GGA) data for PaBiSb after structural relaxation, as listed in the Alexandria database.

Unit cell a=5.5148 b=5.5148 c=3.1604 alpha=90.00 beta=90.00 gamma=120.00
Sites, in units of the cell vectors:
1 Pa 0.0000 0.0000 0.0000
2 Bi 0.6667 0.3333 0.5000
3 Sb 0.3333 0.6667 0.5000

Distance to the lowest polymorph of the same formula: 0.3133 eV per atom

***

First-principles (PBE-GGA) data for Pa2BiSb3 after structural relaxation, as listed in the Alexandria database.

Unit cell a=4.3865 b=4.3865 c=8.7877 alpha=90.00 beta=90.00 gamma=90.00
Sites, in units of the cell vectors:
1 Pa 0.0000 0.5000 0.2168
2 Pa 0.5000 0.0000 0.7832
3 Bi 0.0000 0.0000 0.5000
4 Sb 0.0000 0.5000 0.8584
5 Sb 0.5000 0.0000 0.1416
6 Sb 0.5000 0.5000 0.5000

Calculated total energy: -6.315 eV/atom

***

First-principles (PBE-GGA) data for Pa2BiSb after structural relaxation, as listed in the Alexandria database.

Unit cell a=7.5549 b=7.5549 c=7.5549 alpha=90.00 beta=90.00 gamma=90.00
Sites, in units of the cell vectors:
1 Pa 0.2500 0.2500 0.2500
2 Pa 0.2500 0.2500 0.7500
3 Pa 0.2500 0.7500 0.2500
4 Pa 0.2500 0.7500 0.7500
5 Pa 0.7500 0.2500 0.2500
6 Pa 0.7500 0.2500 0.7500
7 Pa 0.7500 0.7500 0.2500
8 Pa 0.7500 0.7500 0.7500
9 Bi 0.0000 0.0000 0.0000
10 Bi 0.0000 0.5000 0.5000
11 Bi 0.5000 0.0000 0.5000
12 Bi 0.5000 0.5000 0.0000
13 Sb 0.0000 0.0000 0.5000
14 Sb 0.0000 0.5000 0.0000
15 Sb 0.5000 0.0000 0.0000
16 Sb 0.5000 0.5000 0.5000

Distance to the lowest polymorph of the same formula: 0.0085 eV per atom

***

First-principles (PBE-GGA) data for PaBiSb after structural relaxation, as listed in the Alexandria database.

Unit cell a=4.4319 b=4.4319 c=17.6903 alpha=90.00 beta=90.00 gamma=90.00
Sites, in units of the cell vectors:
1 Pa 0.0000 0.0000 0.1427
2 Pa 0.0000 0.0000 0.8573
3 Pa 0.5000 0.5000 0.3573
4 Pa 0.5000 0.5000 0.6427
5 Bi 0.0000 0.5000 0.0000
6 Bi 0.0000 0.5000 0.5000
7 Bi 0.5000 0.0000 0.0000
8 Bi 0.5000 0.0000 0.5000
9 Sb 0.0000 0.0000 0.3191
10 Sb 0.0000 0.0000 0.6809
11 Sb 0.5000 0.5000 0.1809
12 Sb 0.5000 0.5000 0.8191

Distance to the lowest polymorph of the same formula: 0.0000 eV per atom

***

First-principles (PBE-GGA) data for Pa3Bi2Sb after structural relaxation, as listed in the Alexandria database.

Unit cell a=7.7335 b=7.7335 c=7.6370 alpha=99.74 beta=99.74 gamma=120.49
Sites, in units of the cell vectors:
1 Pa 0.0000 0.5000 0.0000
2 Pa 0.1509 0.3096 0.4902
3 Pa 0.3096 0.1509 0.9902
4 Pa 0.5000 0.0000 0.5000
5 Pa 0.6904 0.8491 0.0098
6 Pa 0.8491 0.6904 0.5098
7 Bi 0.2587 0.7413 0.7500
8 Bi 0.4193 0.5807 0.2500
9 Bi 0.5807 0.4193 0.7500
10 Bi 0.7413 0.2587 0.2500
11 Sb 0.0897 0.9103 0.2500
12 Sb 0.9103 0.0897 0.7500

Calculated total energy: -6.894 eV/atom

***

First-principles (PBE-GGA) data for Pa3Bi3Sb2 after structural relaxation, as listed in the Alexandria database.

Unit cell a=4.2916 b=4.6010 c=23.1684 alpha=90.00 beta=90.00 gamma=90.00
Sites, in units of the cell vectors:
1 Pa 0.0000 0.0000 0.0000
2 Pa 0.0000 0.5000 0.1478
3 Pa 0.0000 0.5000 0.8522
4 Pa 0.5000 0.0000 0.3522
5 Pa 0.5000 0.0000 0.6478
6 Pa 0.5000 0.5000 0.5000
7 Bi 0.0000 0.0000 0.5000
8 Bi 0.0000 0.5000 0.3860
9 Bi 0.0000 0.5000 0.6140
10 Bi 0.5000 0.0000 0.1140
11 Bi 0.5000 0.0000 0.8860
12 Bi 0.5000 0.5000 0.0000
13 Sb 0.0000 0.0000 0.2495
14 Sb 0.0000 0.0000 0.7505
15 Sb 0.5000 0.5000 0.2505
16 Sb 0.5000 0.5000 0.7495

Distance to the lowest polymorph of the same formula: 0.1104 eV per atom

***

First-principles (PBE-GGA) data for Pa2BiSb after structural relaxation, as listed in the Alexandria database.

Unit cell a=4.4111 b=4.4111 c=21.6728 alpha=90.00 beta=90.00 gamma=120.00
Sites, in units of the cell vectors:
1 Pa 0.0000 0.0000 0.2457
2 Pa 0.0000 0.0000 0.7543
3 Pa 0.3333 0.6667 0.4210
4 Pa 0.3333 0.6667 0.9123
5 Pa 0.6667 0.3333 0.0877
6 Pa 0.6667 0.3333 0.5790
7 Bi 0.0000 0.0000 0.0000
8 Bi 0.3333 0.6667 0.6667
9 Bi 0.6667 0.3333 0.3333
10 Sb 0.0000 0.0000 0.5000
11 Sb 0.3333 0.6667 0.1667
12 Sb 0.6667 0.3333 0.8333

Distance to the lowest polymorph of the same formula: 0.0352 eV per atom

***

First-principles (PBE-GGA) data for Pa5Bi5Sb after structural relaxation, as listed in the Alexandria database.

Unit cell a=7.5882 b=7.5882 c=8.8378 alpha=107.04 beta=107.04 gamma=48.58
Sites, in units of the cell vectors:
1 Pa 0.0000 0.0000 0.0000
2 Pa 0.3309 0.3309 0.1578
3 Pa 0.3369 0.3369 0.6733
4 Pa 0.6631 0.6631 0.3267
5 Pa 0.6691 0.6691 0.8422
6 Bi 0.1530 0.1530 0.8052
7 Bi 0.1603 0.1603 0.3453
8 Bi 0.5000 0.5000 0.5000
9 Bi 0.8397 0.8397 0.6547
10 Bi 0.8470 0.8470 0.1948
11 Sb 0.5000 0.5000 0.0000

Calculated total energy: -6.538 eV/atom